Record 1
LaGe3Cl | PBE | optimized geometry

Results
* D(E_F): 7.74 states/eV per cell
* ΔE_f (raw): 0.83 eV/atom

abc: 5.7577 5.7577 5.7577
angles: 90.00 90.00 90.00
Last column: nearest neighbours and their distance in Å.
Fractional coordinates of all 5 atoms:
Ge 0.0000 0.5000 0.0000  2 La 2.88
Ge 0.5000 0.0000 0.0000  2 La 2.88
Ge 0.0000 0.0000 0.5000  2 La 2.88
Cl 0.5000 0.5000 0.5000  12 Ge 4.07
La 0.0000 0.0000 0.0000  6 Ge 2.88

=====

Record 2
Pr2Zn6Ga3 | PBE | optimized geometry

Results
* D(E_F): 5.16 states/eV per cell
* formation energy: -35.2 kJ/mol of atoms

abc: 4.1437 7.7339 7.7339
angles: 120.00 90.00 90.00
Last column: nearest neighbours and their distance in Å.
Fractional coordinates of all 11 atoms:
Zn 0.5000 0.2904 0.0000  3 Ga 2.57-2.64, 4 Zn 2.86
Zn 0.5000 0.0000 0.2904  3 Ga 2.57-2.64, 4 Zn 2.86
Zn 0.0000 0.1895 0.1895  2 Ga 2.53, 2 Zn 2.54
Zn 0.0000 0.8105 0.0000  2 Ga 2.53, 2 Zn 2.54
Zn 0.5000 0.7096 0.7096  3 Ga 2.57-2.64, 4 Zn 2.86
Zn 0.0000 0.0000 0.8105  2 Ga 2.53, 2 Zn 2.54
Ga 0.5000 0.3768 0.3768  5 Zn 2.53-2.64
Ga 0.5000 0.6232 0.0000  5 Zn 2.53-2.64
Ga 0.5000 0.0000 0.6232  5 Zn 2.53-2.64
Pr 0.0000 0.6667 0.3333  6 Ga 3.19, 9 Zn 3.28-3.45
Pr 0.0000 0.3333 0.6667  6 Ga 3.19, 9 Zn 3.28-3.45

=====

Record 3
BaMg2As2 | PBE | optimized geometry

Results
* formation energy: -91.8 kJ/mol of atoms

abc: 4.5205 4.5205 7.7981
angles: 90.00 90.00 120.00
Last column: nearest neighbours and their distance in Å.
Fractional coordinates of all 5 atoms:
As 0.6667 0.3333 0.7269  4 Mg 2.72-2.73
As 0.3333 0.6667 0.2731  4 Mg 2.72-2.73
Ba 0.0000 0.0000 0.0000  6 As 3.37
Mg 0.3333 0.6667 0.6222  4 As 2.72-2.73
Mg 0.6667 0.3333 0.3778  4 As 2.72-2.73

=====

Record 4
NdDy2Cd2Hg2 | PBE | optimized geometry

Results
* D(E_F): 5.15 states/eV per cell
* formation energy: -24.5 kJ/mol of atoms

abc: 4.9650 4.9650 9.3285
angles: 74.57 74.57 60.00
Last column: nearest neighbours and their distance in Å.
Fractional coordinates of all 7 atoms:
Hg 0.5980 0.5980 0.2061  3 Cd 2.88
Hg 0.4020 0.4020 0.7939  3 Cd 2.88
Cd 0.2554 0.2554 0.2337  3 Hg 2.88, 3 Dy 3.14
Cd 0.7446 0.7446 0.7663  3 Hg 2.88, 3 Dy 3.14
Dy 0.1260 0.1260 0.6219  4 Cd 3.14-3.45, 3 Hg 3.25, 1 Nd 3.36
Dy 0.8740 0.8740 0.3781  4 Cd 3.14-3.45, 3 Hg 3.25, 1 Nd 3.36
Nd 0.0000 0.0000 0.0000  2 Dy 3.36, 6 Hg 3.40, 6 Cd 3.54

=====

Record 5
U2Al8Rh | PBE | optimized geometry

Results
* D(E_F): 11.58 states/eV per cell
* formation energy: -32.6 kJ/mol of atoms

abc: 4.2684 4.2684 11.1803
angles: 90.00 90.00 90.00
Last column: nearest neighbours and their distance in Å.
Fractional coordinates of all 11 atoms:
Al 0.5000 0.0000 0.5000  4 U 3.00, 8 Al 3.02-3.03
Al 0.0000 0.5000 0.1233  2 Rh 2.54, 1 Al 2.76
Al 0.5000 0.5000 0.3075  8 Al 2.97-3.03, 4 U 3.02
Al 0.0000 0.5000 0.5000  4 U 3.00, 8 Al 3.02-3.03
Al 0.5000 0.0000 0.8767  2 Rh 2.54, 1 Al 2.76
Al 0.5000 0.5000 0.6925  8 Al 2.97-3.03, 4 U 3.02
Al 0.5000 0.0000 0.1233  2 Rh 2.54, 1 Al 2.76
Al 0.0000 0.5000 0.8767  2 Rh 2.54, 1 Al 2.76
Rh 0.0000 0.0000 0.0000  8 Al 2.54
U 0.0000 0.0000 0.6887  12 Al 3.00-3.02
U 0.0000 0.0000 0.3113  12 Al 3.00-3.02

=====

Record 6
HoZn2Ni2 | PBE | optimized geometry

Results
* D(E_F): 4.87 states/eV per cell
* formation energy: -25.5 kJ/mol of atoms

abc: 5.0551 5.0551 8.2429
angles: 97.86 97.86 123.45
Last column: nearest neighbours and their distance in Å.
Fractional coordinates of all 10 atoms:
Ho 0.1251 0.3749 0.2500  6 Ni 2.85-2.90, 4 Zn 3.08
Ho 0.8749 0.6251 0.7500  6 Ni 2.85-2.90, 4 Zn 3.08
Ni 0.7993 0.7007 0.2500  4 Zn 2.44-2.48
Ni 0.5488 0.9512 0.7500  4 Zn 2.44-2.48
Ni 0.4512 0.0488 0.2500  4 Zn 2.44-2.48
Ni 0.2007 0.2993 0.7500  4 Zn 2.44-2.48
Zn 0.2529 0.0032 0.5052  4 Ni 2.44-2.48, 2 Zn 2.53
Zn 0.7471 0.9968 0.4948  4 Ni 2.44-2.48, 2 Zn 2.53
Zn 0.5032 0.7529 0.0052  4 Ni 2.44-2.48, 2 Zn 2.53
Zn 0.4968 0.2471 0.9948  4 Ni 2.44-2.48, 2 Zn 2.53

=====

Record 7
TiZn3Ni12 | PBE | optimized geometry

Results
* D(E_F): 16.84 states/eV per cell
* formation energy: -19.8 kJ/mol of atoms

abc: 3.5835 3.5835 14.2923
angles: 90.00 90.00 90.00
Last column: nearest neighbours and their distance in Å.
Fractional coordinates of all 16 atoms:
Ni 0.0000 0.5000 0.6246  4 Zn 2.52-2.53, 8 Ni 2.53
Ni 0.5000 0.0000 0.6246  4 Zn 2.52-2.53, 8 Ni 2.53
Ni 0.5000 0.5000 0.0000  4 Ti 2.53, 8 Ni 2.54
Ni 0.5000 0.0000 0.1260  8 Ni 2.53-2.54, 2 Zn 2.54, 2 Ti 2.54
Ni 0.5000 0.5000 0.5000  8 Ni 2.53, 4 Zn 2.53
Ni 0.5000 0.5000 0.2506  8 Ni 2.53, 4 Zn 2.53
Ni 0.0000 0.5000 0.3754  4 Zn 2.52-2.53, 8 Ni 2.53
Ni 0.0000 0.5000 0.1260  8 Ni 2.53-2.54, 2 Zn 2.54, 2 Ti 2.54
Ni 0.5000 0.0000 0.3754  4 Zn 2.52-2.53, 8 Ni 2.53
Ni 0.5000 0.0000 0.8740  8 Ni 2.53-2.54, 2 Zn 2.54, 2 Ti 2.54
Ni 0.0000 0.5000 0.8740  8 Ni 2.53-2.54, 2 Zn 2.54, 2 Ti 2.54
Ni 0.5000 0.5000 0.7494  8 Ni 2.53, 4 Zn 2.53
Zn 0.0000 0.0000 0.7484  12 Ni 2.52-2.54
Zn 0.0000 0.0000 0.5000  12 Ni 2.53
Zn 0.0000 0.0000 0.2516  12 Ni 2.52-2.54
Ti 0.0000 0.0000 0.0000  12 Ni 2.53-2.54

=====

Record 8
Tb2Pm8Nd | PBE | optimized geometry

Results
* D(E_F): 17.10 states/eV per cell
* formation energy: 14.3 kJ/mol of atoms

abc: 5.6893 10.3199 10.3199
angles: 40.15 93.27 93.27
Last column: nearest neighbours and their distance in Å.
Fractional coordinates of all 11 atoms:
Tb 0.7449 0.2845 0.2845  11 Pm 3.31-3.69
Tb 0.2551 0.7155 0.7155  11 Pm 3.31-3.69
Pm 0.2307 0.1880 0.1880  4 Tb 3.38-3.58, 4 Pm 3.53-3.64
Pm 0.7310 0.3995 0.8651  4 Pm 3.30-3.64, 3 Tb 3.50-3.69, 1 Nd 3.60
Pm 0.7310 0.8651 0.3995  4 Pm 3.30-3.64, 3 Tb 3.50-3.69, 1 Nd 3.60
Pm 0.2690 0.6005 0.1349  4 Pm 3.30-3.64, 3 Tb 3.50-3.69, 1 Nd 3.60
Pm 0.7626 0.4553 0.4553  1 Pm 3.12, 1 Tb 3.31
Pm 0.7693 0.8120 0.8120  4 Tb 3.38-3.58, 4 Pm 3.53-3.64
Pm 0.2690 0.1349 0.6005  4 Pm 3.30-3.64, 3 Tb 3.50-3.69, 1 Nd 3.60
Pm 0.2374 0.5447 0.5447  1 Pm 3.12, 1 Tb 3.31
Nd 0.0000 0.0000 0.0000  10 Pm 3.60-3.87

=====

Record 9
BHSCl2 | PBE | optimized geometry

Results
* D(E_F): 3.68 states/eV per cell
* DFT total energy: -11.88 eV/cell

abc: 5.0391 5.0391 3.2271
angles: 90.00 90.00 90.00
Last column: nearest neighbours and their distance in Å.
Fractional coordinates of all 5 atoms:
S 0.0000 0.0000 0.5000  2 H 1.61
Cl 0.0000 0.5000 0.0000  2 H 2.52
Cl 0.5000 0.0000 0.0000  2 H 2.52
B 0.5000 0.5000 0.5000  8 Cl 2.99, 2 B 3.23
H 0.0000 0.0000 0.0000  2 S 1.61

=====

Record 10
TaSN | PBE | optimized geometry

Results
* ΔE_f (raw): -0.95 eV/atom

abc: 3.2727 3.2730 12.4440
angles: 90.07 82.41 60.00
Last column: nearest neighbours and their distance in Å.
Fractional coordinates of all 6 atoms:
Ta 0.5708 0.0107 0.5275  3 N 2.04
Ta 0.5140 0.5367 0.1235  3 N 2.04
S 0.2721 0.1570 0.9874  3 Ta 2.52
S 0.8126 0.3902 0.6636  3 Ta 2.52
N 0.2802 0.6556 0.4640  3 Ta 2.04
N 0.8046 0.8917 0.1870  3 Ta 2.04

=====

Record 11
Ac2Si3Ni12Ir | PBE | optimized geometry

Results
* D(E_F): 14.76 states/eV per cell
* ΔE_f (raw): 0.13 eV/atom

abc: 7.5965 7.5965 7.5965
angles: 61.45 61.45 61.45
Last column: nearest neighbours and their distance in Å.
Fractional coordinates of all 18 atoms:
Ni 0.3387 0.3387 0.9988  2 Si 2.26, 2 Ni 2.36
Ni 0.6613 0.0012 0.6613  2 Si 2.26, 2 Ni 2.36
Ni 0.0012 0.6613 0.6613  2 Si 2.26, 2 Ni 2.36
Ni 0.6344 0.1189 0.1189  1 Si 2.28, 1 Ir 2.31, 2 Ni 2.36
Ni 0.8811 0.3656 0.8811  1 Si 2.28, 1 Ir 2.31, 2 Ni 2.36
Ni 0.3387 0.9988 0.3387  2 Si 2.26, 2 Ni 2.36
Ni 0.1189 0.1189 0.6344  1 Si 2.28, 1 Ir 2.31, 2 Ni 2.36
Ni 0.1189 0.6344 0.1189  1 Si 2.28, 1 Ir 2.31, 2 Ni 2.36
Ni 0.9988 0.3387 0.3387  2 Si 2.26, 2 Ni 2.36
Ni 0.3656 0.8811 0.8811  1 Si 2.28, 1 Ir 2.31, 2 Ni 2.36
Ni 0.6613 0.6613 0.0012  2 Si 2.26, 2 Ni 2.36
Ni 0.8811 0.8811 0.3656  1 Si 2.28, 1 Ir 2.31, 2 Ni 2.36
Si 0.0000 0.5000 0.0000  6 Ni 2.26-2.28
Si 0.0000 0.0000 0.5000  6 Ni 2.26-2.28
Si 0.5000 0.0000 0.0000  6 Ni 2.26-2.28
Ac 0.6094 0.6094 0.6094  6 Ni 2.95-3.10
Ac 0.3906 0.3906 0.3906  6 Ni 2.95-3.10
Ir 0.0000 0.0000 0.0000  6 Ni 2.31

=====

Record 12
CsBe3Co | PBE | optimized geometry

Results
* D(E_F): 2.58 states/eV per cell
* formation energy: 284.3 kJ/mol of atoms

abc: 5.0350 5.0350 5.0350
angles: 90.00 90.00 90.00
Last column: nearest neighbours and their distance in Å.
Fractional coordinates of all 5 atoms:
Cs 0.0000 0.0000 0.0000  6 Be 2.52
Be 0.5000 0.0000 0.0000  2 Cs 2.52
Be 0.0000 0.5000 0.0000  2 Cs 2.52
Be 0.0000 0.0000 0.5000  2 Cs 2.52
Co 0.5000 0.5000 0.5000  12 Be 3.56

=====

| no. | total moment (μB/cell) | volume (Å³/cell) |
| --- | --- | --- |
| 1 | 0.0 | 190.9 |
| 2 | 0.0 | 214.6 |
| 3 | 0.0 | 138.0 |
| 4 | 0.0 | 189.5 |
| 5 | 4.0 | 203.7 |
| 6 | 0.0 | 168.3 |
| 7 | 3.9 | 183.5 |
| 8 | 0.0 | 390.0 |
| 9 | 0.6 | 81.9 |
| 10 | 0.0 | 114.1 |
| 11 | 0.0 | 320.1 |
| 12 | 2.1 | 127.6 |